1.
# PBE Hf6ZnGa2, optimized geometry
# **Formation energy**: -129 kJ/mol of formula units
# **Density of states at the Fermi level**: 18.9 states/eV per cell
# **Symmetry**: P2_1/c, No. 14
data_Hf6ZnGa2
_chemical_formula_sum 'Hf12 Zn2 Ga4'
_cell_length_a 5.632
_cell_length_b 7.497
_cell_length_c 10.103
_cell_angle_alpha 90.00
_cell_angle_beta 120.30
_cell_angle_gamma 90.00
_symmetry_space_group_name_H-M 'P 1'
_symmetry_Int_Tables_number 1
loop_
_symmetry_equiv_pos_as_xyz
'x,y,z'
loop_
_atom_site_label
_atom_site_fract_x
_atom_site_fract_y
_atom_site_fract_z
Hf1 0.070 0.036 0.214
Hf2 0.070 0.464 0.714
Hf3 0.154 0.696 0.055
Hf4 0.154 0.804 0.555
Hf5 0.425 0.158 0.056
Hf6 0.425 0.342 0.556
Hf7 0.575 0.658 0.444
Hf8 0.575 0.842 0.944
Hf9 0.846 0.196 0.445
Hf10 0.846 0.304 0.945
Hf11 0.930 0.536 0.286
Hf12 0.930 0.964 0.786
Zn1 0.500 0.000 0.500
Zn2 0.500 0.500 0.000
Ga1 0.339 0.122 0.743
Ga2 0.339 0.378 0.243
Ga3 0.661 0.622 0.757
Ga4 0.661 0.878 0.257


2.
# PBE LiZrWCl2, optimized geometry
# **Formation energy (no corrections)**: 0.56 eV/atom
# **Density of states at the Fermi level**: 3.5 states/eV per cell
# **Symmetry**: P4/mmm, No. 123
data_LiZrWCl2
_chemical_formula_sum 'Li1 Zr1 W1 Cl2'
_cell_length_a 4.822
_cell_length_b 4.822
_cell_length_c 5.306
_cell_angle_alpha 90.00
_cell_angle_beta 90.00
_cell_angle_gamma 90.00
_symmetry_space_group_name_H-M 'P 1'
_symmetry_Int_Tables_number 1
loop_
_symmetry_equiv_pos_as_xyz
'x,y,z'
loop_
_atom_site_label
_atom_site_fract_x
_atom_site_fract_y
_atom_site_fract_z
Li1 0.000 0.000 0.000
Zr1 0.500 0.500 0.000
W1 0.500 0.500 0.500
Cl1 0.000 0.500 0.500
Cl2 0.500 0.000 0.500


3.
# PBE Li2ZrS4, optimized geometry
# **Formation energy (no corrections)**: -1.12 eV/atom
# **Symmetry**: Cmcm, No. 63
data_Li2ZrS4
_chemical_formula_sum 'Li4 Zr2 S8'
_cell_length_a 6.994
_cell_length_b 6.994
_cell_length_c 11.688
_cell_angle_alpha 90.00
_cell_angle_beta 90.00
_cell_angle_gamma 149.27
_symmetry_space_group_name_H-M 'P 1'
_symmetry_Int_Tables_number 1
loop_
_symmetry_equiv_pos_as_xyz
'x,y,z'
loop_
_atom_site_label
_atom_site_fract_x
_atom_site_fract_y
_atom_site_fract_z
Li1 0.094 0.906 0.554
Li2 0.094 0.906 0.946
Li3 0.906 0.094 0.054
Li4 0.906 0.094 0.446
Zr1 0.449 0.551 0.750
Zr2 0.551 0.449 0.250
S1 0.079 0.921 0.750
S2 0.174 0.826 0.162
S3 0.174 0.826 0.338
S4 0.500 0.500 0.000
S5 0.500 0.500 0.500
S6 0.826 0.174 0.662
S7 0.826 0.174 0.838
S8 0.921 0.079 0.250


4.
# PBE Re3Te, optimized geometry
# **Formation energy (no corrections)**: 0.80 eV/atom
# **Energy above the most stable polymorph in this dataset**: 267.2 meV per atom
# **Density of states at the Fermi level**: 2.9 states/eV per cell
# **Symmetry**: Fm-3m, No. 225
data_Re3Te
_chemical_formula_sum 'Re3 Te1'
_cell_length_a 4.535
_cell_length_b 4.535
_cell_length_c 4.535
_cell_angle_alpha 60.00
_cell_angle_beta 60.00
_cell_angle_gamma 60.00
_symmetry_space_group_name_H-M 'P 1'
_symmetry_Int_Tables_number 1
loop_
_symmetry_equiv_pos_as_xyz
'x,y,z'
loop_
_atom_site_label
_atom_site_fract_x
_atom_site_fract_y
_atom_site_fract_z
Re1 0.000 0.000 0.000
Re2 0.250 0.250 0.250
Re3 0.750 0.750 0.750
Te1 0.500 0.500 0.500


5.
# PBE Er2CuAg, optimized geometry
# **Energy above the most stable polymorph in this dataset**: 0.0 meV per atom
# **Formation energy**: -117 kJ/mol of formula units
# **Density of states at the Fermi level**: 2.6 states/eV per cell
# **Symmetry**: P4/mmm, No. 123
data_Er2CuAg
_chemical_formula_sum 'Er2 Cu1 Ag1'
_cell_length_a 3.508
_cell_length_b 3.508
_cell_length_c 7.098
_cell_angle_alpha 90.00
_cell_angle_beta 90.00
_cell_angle_gamma 90.00
_symmetry_space_group_name_H-M 'P 1'
_symmetry_Int_Tables_number 1
loop_
_symmetry_equiv_pos_as_xyz
'x,y,z'
loop_
_atom_site_label
_atom_site_fract_x
_atom_site_fract_y
_atom_site_fract_z
Er1 0.000 0.000 0.236
Er2 0.000 0.000 0.764
Cu1 0.500 0.500 0.000
Ag1 0.500 0.500 0.500


Results for total moment: 0.00; 0.07; 0.00; 0.04; 0.00 (in μB/atom, following the order of the records).
Results for total energy: -7.598; -4.864; -5.244; -9.320; -4.320 (in eV per atom, following the order of the records).